# 1
A plane-wave DFT calculation with GGA-PBE was carried out for a geometry-optimized Tb2Ce3Pb6 structure.

- Spin magnetization: 0.2566 μB per atom
- Energy of formation from the pure elements: -0.072 eV per atom
- Volume: 396.28 Å³ per cell
- Space-group type: I4/mmm (139)

Structure (POSCAR):
```
Tb2Ce3Pb6
1.0
-0.158 -0.813 -5.924
4.817 -3.528 0.355
-8.889 -6.647 4.169
Tb Ce Pb
2 3 6
Direct
0.424 0.424 0.849 Tb
0.576 0.576 0.151 Tb
0.000 0.000 0.000 Ce
0.855 0.855 0.710 Ce
0.145 0.145 0.290 Ce
0.075 0.575 0.150 Pb
0.575 0.075 0.150 Pb
0.925 0.425 0.850 Pb
0.425 0.925 0.850 Pb
0.712 0.712 0.423 Pb
0.288 0.288 0.577 Pb
```

# 2
A plane-wave DFT calculation with GGA-PBE was carried out for a geometry-optimized TbCeTePb structure.

- Formation energy from raw total energies: -0.91 eV/atom
- Spin magnetization: 0.2031 μB per atom
- Volume: 127.67 Å³ per cell
- Space-group type: R3m (160)

Structure (POSCAR):
```
TbCeTePb
1.0
-4.354 1.068 -0.267
-2.938 -2.953 -1.681
-3.511 -3.362 6.041
Tb Ce Te Pb
1 1 1 1
Direct
0.443 0.443 0.672 Tb
0.946 0.946 0.162 Ce
0.192 0.192 0.424 Te
0.696 0.696 0.912 Pb
```

# 3
A plane-wave DFT calculation with GGA-PBE was carried out for a geometry-optimized TbCeTePb structure.

- Formation energy from raw total energies: -0.72 eV/atom
- Spin magnetization: 0.2481 μB per atom
- Volume: 115.09 Å³ per cell
- Space-group type: F-43m (216)

Structure (POSCAR):
```
TbCeTePb
1.0
5.460 0.000 0.000
2.730 4.728 0.000
2.730 1.576 4.458
Pb Te Tb Ce
1 1 1 1
Direct
0.750 0.750 0.750 Pb
0.250 0.250 0.250 Te
0.500 0.500 0.500 Tb
0.000 0.000 0.000 Ce
```

# 4
A plane-wave DFT calculation with GGA-PBE was carried out for a geometry-optimized TbCeTlPb structure.

- Spin magnetization: 0.3029 μB per atom
- Energy of formation from the pure elements: -0.334 eV per atom
- Volume: 116.28 Å³ per cell
- Space-group type: F-43m (216)

Structure (POSCAR):
```
TbCeTlPb
1.0
5.479 0.000 0.000
2.739 4.745 0.000
2.739 1.582 4.473
Pb Tl Tb Ce
1 1 1 1
Direct
0.500 0.500 0.500 Pb
0.000 0.000 0.000 Tl
0.250 0.250 0.250 Tb
0.750 0.750 0.750 Ce
```

# 5
A plane-wave DFT calculation with GGA-PBE was carried out for a geometry-optimized TbCeTlPb structure.

- Spin magnetization: 0.4301 μB per atom
- Energy of formation from the pure elements: -0.363 eV per atom
- Volume: 114.91 Å³ per cell
- Space-group type: I-4m2 (119)

Structure (POSCAR):
```
TbCeTlPb
1.0
5.066 0.000 0.000
0.000 5.066 0.000
-2.533 -2.533 4.477
Tb Ce Tl Pb
1 1 1 1
Direct
0.250 0.750 0.500 Tb
0.750 0.250 0.500 Ce
0.500 0.500 0.000 Tl
0.000 0.000 0.000 Pb
```

# 6
A plane-wave DFT calculation with GGA-PBE was carried out for a geometry-optimized TbCeZnPb structure.

- Spin magnetization: 0.2586 μB per atom
- Energy of formation from the pure elements: -0.315 eV per atom
- Volume: 106.67 Å³ per cell
- Space-group type: F-43m (216)

Structure (POSCAR):
```
TbCeZnPb
1.0
5.323 0.000 0.000
2.662 4.610 0.000
2.662 1.537 4.347
Pb Zn Tb Ce
1 1 1 1
Direct
0.500 0.500 0.500 Pb
0.000 0.000 0.000 Zn
0.750 0.750 0.750 Tb
0.250 0.250 0.250 Ce
```

# 7
A plane-wave DFT calculation with GGA-PBE was carried out for a geometry-optimized Ce6TcPb3 structure.

- Spin magnetization: 0.5229 μB per atom
- Energy of formation from the pure elements: -0.174 eV per atom
- Volume: 293.13 Å³ per cell
- Space-group type: C2/m (12)

Structure (POSCAR):
```
Ce6TcPb3
1.0
-6.532 4.209 -2.864
-4.743 -4.232 0.671
-3.632 0.591 5.226
Ce Tc Pb
6 1 3
Direct
0.370 0.097 0.670 Ce
0.630 0.330 0.903 Ce
0.630 0.903 0.330 Ce
0.370 0.670 0.097 Ce
0.136 0.651 0.651 Ce
0.864 0.349 0.349 Ce
0.500 0.500 0.500 Tc
0.255 0.178 0.178 Pb
0.745 0.822 0.822 Pb
0.000 0.000 0.000 Pb
```

# 8
A plane-wave DFT calculation with GGA-PBE was carried out for a geometry-optimized Ce3Tc2Pb structure.

- Spin magnetization: 0.0183 μB per atom
- Energy of formation from the pure elements: -0.138 eV per atom
- Volume: 297.58 Å³ per cell
- Space-group type: C2/m (12)

Structure (POSCAR):
```
Ce3Tc2Pb
1.0
-0.962 -4.551 1.339
8.461 -1.491 1.009
-2.349 4.785 5.825
Ce Tc Pb
6 4 2
Direct
0.240 0.217 0.480 Ce
0.065 0.706 0.131 Ce
0.385 0.625 0.771 Ce
0.760 0.783 0.520 Ce
0.615 0.375 0.229 Ce
0.935 0.294 0.869 Ce
0.155 0.520 0.310 Tc
0.845 0.480 0.690 Tc
0.932 0.848 0.864 Tc
0.068 0.152 0.136 Tc
0.397 0.024 0.793 Pb
0.603 0.976 0.207 Pb
```

# 9
A plane-wave DFT calculation with GGA-PBE was carried out for a geometry-optimized Ce5TcPb2 structure.

- Spin magnetization: 0.6196 μB per atom
- Energy of formation from the pure elements: 0.148 eV per atom
- Volume: 566.83 Å³ per cell
- Space-group type: Cmcm (63)

Structure (POSCAR):
```
Ce5TcPb2
1.0
-1.424 -1.343 -4.884
8.991 0.922 -0.041
1.249 -12.041 2.947
Ce Tc Pb
10 2 4
Direct
0.942 0.885 0.900 Ce
0.942 0.885 0.600 Ce
0.273 0.545 0.446 Ce
0.273 0.545 0.054 Ce
0.693 0.386 0.250 Ce
0.307 0.614 0.750 Ce
0.727 0.455 0.554 Ce
0.727 0.455 0.946 Ce
0.058 0.115 0.100 Ce
0.058 0.115 0.400 Ce
0.839 0.677 0.750 Tc
0.161 0.323 0.250 Tc
0.870 0.740 0.370 Pb
0.870 0.740 0.130 Pb
0.130 0.260 0.630 Pb
0.130 0.260 0.870 Pb
```

# 10
A plane-wave DFT calculation with GGA-PBE was carried out for a geometry-optimized Ce7Tc2Pb2 structure.

- Spin magnetization: 0.3283 μB per atom
- Energy of formation from the pure elements: -0.060 eV per atom
- Volume: 317.06 Å³ per cell
- Space-group type: Cmmm (65)

Structure (POSCAR):
```
Ce7Tc2Pb2
1.0
6.970 -0.003 -0.995
0.002 6.800 0.004
-1.428 -0.002 6.894
Ce Tc Pb
7 2 2
Direct
0.000 0.264 0.500 Ce
0.500 0.736 0.000 Ce
0.000 0.736 0.500 Ce
0.500 0.264 0.000 Ce
0.000 0.000 0.000 Ce
0.500 0.802 0.500 Ce
0.500 0.198 0.500 Ce
0.732 0.000 0.268 Tc
0.268 0.000 0.732 Tc
0.813 0.500 0.813 Pb
0.187 0.500 0.187 Pb
```

# 11
A plane-wave DFT calculation with GGA-PBE was carried out for a geometry-optimized Ce6TcPb2 structure.

- Spin magnetization: 0.4083 μB per atom
- Energy of formation from the pure elements: -0.239 eV per atom
- Volume: 246.96 Å³ per cell
- Space-group type: Fm-3m (225)

Structure (POSCAR):
```
Ce6TcPb2
1.0
7.042 0.000 0.000
3.521 6.099 0.000
3.521 2.033 5.750
Ce Tc Pb
6 1 2
Direct
0.268 0.732 0.732 Ce
0.268 0.732 0.268 Ce
0.732 0.268 0.732 Ce
0.732 0.268 0.268 Ce
0.732 0.732 0.268 Ce
0.268 0.268 0.732 Ce
0.000 0.000 0.000 Tc
0.250 0.250 0.250 Pb
0.750 0.750 0.750 Pb
```

# 12
A plane-wave DFT calculation with GGA-PBE was carried out for a geometry-optimized Ce3TcPb2 structure.

- Spin magnetization: 0.1361 μB per atom
- Energy of formation from the pure elements: -0.146 eV per atom
- Volume: 344.26 Å³ per cell
- Space-group type: C2/m (12)

Structure (POSCAR):
```
Ce3TcPb2
1.0
7.795 0.000 -0.519
3.898 5.579 -0.259
2.173 0.000 7.771
Ce Tc Pb
6 2 4
Direct
0.459 0.628 0.775 Ce
0.319 0.000 0.181 Ce
0.541 0.372 0.225 Ce
0.913 0.628 0.225 Ce
0.087 0.372 0.775 Ce
0.681 0.000 0.819 Ce
0.704 0.591 0.000 Tc
0.296 0.409 0.000 Tc
0.000 0.000 0.000 Pb
0.500 0.000 0.500 Pb
0.135 0.729 0.500 Pb
0.865 0.271 0.500 Pb
```

# 13
A plane-wave DFT calculation with GGA-PBE was carried out for a geometry-optimized Ce4TcPb structure.

- Spin magnetization: 0.2153 μB per atom
- Energy of formation from the pure elements: -0.191 eV per atom
- Volume: 312.06 Å³ per cell
- Space-group type: C2/c (15)

Structure (POSCAR):
```
Ce4TcPb
1.0
5.894 -0.766 0.000
-2.416 8.343 0.000
-1.739 -3.789 6.594
Ce Tc Pb
8 2 2
Direct
0.004 0.179 0.820 Ce
0.815 0.703 0.614 Ce
0.317 0.641 0.820 Ce
0.298 0.911 0.614 Ce
0.702 0.089 0.386 Ce
0.683 0.359 0.180 Ce
0.185 0.297 0.386 Ce
0.996 0.821 0.180 Ce
0.270 0.020 0.040 Tc
0.730 0.980 0.960 Tc
0.367 0.617 0.233 Pb
0.633 0.383 0.767 Pb
```

# 14
A plane-wave DFT calculation with GGA-PBE was carried out for a geometry-optimized Ce2ThTcPb structure.

- Spin magnetization: 0.1896 μB per atom
- Energy of formation from the pure elements: -0.136 eV per atom
- Volume: 280.91 Å³ per cell
- Space-group type: Cmcm (63)

Structure (POSCAR):
```
Ce2ThTcPb
1.0
3.544 0.000 0.000
-1.772 8.512 0.000
0.000 0.000 9.313
Ce Th Tc Pb
4 2 2 2
Direct
0.144 0.287 0.914 Ce
0.856 0.713 0.086 Ce
0.144 0.287 0.586 Ce
0.856 0.713 0.414 Ce
0.460 0.920 0.750 Th
0.540 0.080 0.250 Th
0.000 0.000 0.000 Tc
0.000 0.000 0.500 Tc
0.787 0.573 0.750 Pb
0.213 0.427 0.250 Pb
```

# 15
A plane-wave DFT calculation with GGA-PBE was carried out for a geometry-optimized Ce3TePb structure.

- Formation energy from raw total energies: -0.64 eV/atom
- Spin magnetization: 0.5517 μB per atom
- Volume: 298.78 Å³ per cell
- Space-group type: P-1 (2)

Structure (POSCAR):
```
Ce3TePb
1.0
-3.711 -3.599 -3.843
0.768 -3.633 5.188
-5.338 6.592 1.053
Ce Te Pb
6 2 2
Direct
0.472 0.734 0.070 Ce
0.302 0.128 0.574 Ce
0.902 0.633 0.750 Ce
0.098 0.367 0.250 Ce
0.528 0.266 0.930 Ce
0.698 0.872 0.426 Ce
0.001 0.805 0.167 Te
0.999 0.195 0.833 Te
0.616 0.303 0.332 Pb
0.384 0.697 0.668 Pb
```

# 16
A plane-wave DFT calculation with GGA-PBE was carried out for a geometry-optimized Ce5Te4Pb structure.

- Formation energy from raw total energies: -1.18 eV/atom
- Spin magnetization: 0.5681 μB per atom
- Volume: 324.96 Å³ per cell
- Space-group type: I4/m (87)

Structure (POSCAR):
```
Ce5Te4Pb
1.0
6.383 0.000 0.000
3.192 7.135 0.000
3.192 0.000 7.135
Ce Te Pb
5 4 1
Direct
0.901 0.402 0.799 Ce
0.302 0.799 0.598 Ce
0.700 0.201 0.402 Ce
0.101 0.598 0.201 Ce
0.501 0.000 0.000 Ce
0.401 0.400 0.800 Te
0.801 0.800 0.600 Te
0.201 0.200 0.400 Te
0.601 0.600 0.200 Te
0.001 0.000 0.000 Pb
```

# 17
A plane-wave DFT calculation with GGA-PBE was carried out for a geometry-optimized Ce5TePb2 structure.

- Formation energy from raw total energies: -0.50 eV/atom
- Spin magnetization: 0.8970 μB per atom
- Volume: 478.23 Å³ per cell
- Space-group type: Pbam (55)

Structure (POSCAR):
```
Ce5TePb2
1.0
5.223 0.000 0.000
0.000 6.783 0.000
0.000 0.000 13.499
Ce Te Pb
10 2 4
Direct
0.000 0.000 0.500 Ce
0.000 0.500 0.000 Ce
0.000 0.906 0.236 Ce
0.000 0.094 0.764 Ce
0.000 0.594 0.736 Ce
0.000 0.406 0.264 Ce
0.500 0.672 0.395 Ce
0.500 0.328 0.605 Ce
0.500 0.828 0.895 Ce
0.500 0.172 0.105 Ce
0.000 0.500 0.500 Te
0.000 0.000 0.000 Te
0.500 0.649 0.146 Pb
0.500 0.351 0.854 Pb
0.500 0.851 0.646 Pb
0.500 0.149 0.354 Pb
```

# 18
A plane-wave DFT calculation with GGA-PBE was carried out for a geometry-optimized CeTe8Pb6 structure.

- Formation energy from raw total energies: -0.46 eV/atom
- Spin magnetization: 0.0000 μB per atom
- Volume: 581.62 Å³ per cell
- Space-group type: P-3 (147)

Structure (POSCAR):
```
CeTe8Pb6
1.0
-3.178 -5.639 0.130
8.420 -4.818 -3.102
-1.787 1.237 9.950
Ce Te Pb
1 8 6
Direct
0.500 0.000 0.000 Ce
0.753 0.009 0.265 Te
0.753 0.735 0.744 Te
0.753 0.256 0.991 Te
0.247 0.991 0.735 Te
0.247 0.265 0.256 Te
0.247 0.744 0.009 Te
0.508 0.333 0.667 Te
0.492 0.667 0.333 Te
0.698 0.662 0.055 Pb
0.698 0.945 0.607 Pb
0.698 0.393 0.338 Pb
0.302 0.338 0.945 Pb
0.302 0.055 0.393 Pb
0.302 0.607 0.662 Pb
```

# 19
A plane-wave DFT calculation with GGA-PBE was carried out for a geometry-optimized Ce5TePb2 structure.

- Formation energy from raw total energies: -0.49 eV/atom
- Spin magnetization: 0.4912 μB per atom
- Volume: 224.96 Å³ per cell
- Space-group type: Cm (8)

Structure (POSCAR):
```
Ce5TePb2
1.0
-6.008 -2.182 5.032
4.912 0.738 6.352
-0.371 4.009 -5.362
Ce Te Pb
5 1 2
Direct
0.735 0.235 0.947 Ce
0.202 0.200 0.908 Ce
0.738 0.736 0.981 Ce
0.232 0.732 0.941 Ce
0.676 0.681 0.444 Ce
0.220 0.220 0.444 Te
0.248 0.727 0.444 Pb
0.727 0.245 0.444 Pb
```

# 20
A plane-wave DFT calculation with GGA-PBE was carried out for a geometry-optimized CeTe2Pb structure.

- Formation energy from raw total energies: -0.72 eV/atom
- Spin magnetization: 0.1659 μB per atom
- Volume: 163.83 Å³ per cell
- Space-group type: R-3m (166)

Structure (POSCAR):
```
CeTe2Pb
1.0
-0.391 -4.141 1.181
2.556 -3.003 -1.771
7.525 -0.928 7.155
Pb Te Ce
1 2 1
Direct
0.000 0.000 0.000 Pb
0.105 0.105 0.684 Te
0.895 0.895 0.316 Te
0.500 0.500 0.500 Ce
```